First-principles (GGA-PBE) data for a relaxed structure of Sn3SbTe4, as listed in Alexandria via LeMat-Bulk.

Cell: 6.409 12.633 6.409 Å, 90.00 90.00 90.00°
Space group Pmmn (No. 59, origin choice 2)
Unique sites:
1 Sn 0.250 0.000 0.250 [4 per cell]
2 Sn 0.250 0.250 0.750 [2 per cell]
3 Sb 0.250 0.750 0.750 [2 per cell]
4 Te 0.250 0.250 0.250 [2 per cell]
5 Te 0.250 0.505 0.750 [4 per cell]
6 Te 0.250 0.750 0.249 [2 per cell]

Values from the calculation:
total magnetic moment: 0.00 μB/f.u.

***

First-principles (GGA-PBE) data for a relaxed structure of Sn2Sb2Te, as listed in Alexandria via LeMat-Bulk.

Cell: 4.370 4.370 15.632 Å, 90.00 90.00 90.00°
Space group I4/mmm (No. 139)
Unique sites:
1 Sn 0.000 0.500 0.250 [4 per cell]
2 Sb 0.000 0.000 0.099 [4 per cell]
3 Te 0.000 0.000 0.500 [2 per cell]

Values from the calculation:
total magnetic moment: 0.00 μB/f.u.
energy above the most stable polymorph in this dataset: 116 meV per atom

***

First-principles (GGA-PBE) data for a relaxed structure of SnSb2Te, as listed in Alexandria via LeMat-Bulk.

Cell: 7.631 7.631 7.631 Å, 90.00 90.00 90.00°
Space group Fm-3m (No. 225)
Unique sites:
1 Sn 0.000 0.000 0.000 [4 per cell]
2 Sb 0.250 0.250 0.250 [8 per cell]
3 Te 0.000 0.000 0.500 [4 per cell]

Values from the calculation:
total magnetic moment: 0.00 μB/f.u.
energy above the most stable polymorph in this dataset: 174 meV per atom

***

no.,uncorrected formation energy (meV per atom),calculated total energy (eV per atom)
1,-197,-3.78
2,156,-3.72
3,196,-3.65